Model one:
# Gd2ScTi (GGA-PBE, relaxed)
data_Gd2ScTi
_cell_length_a 7.4639
_cell_length_b 7.4639
_cell_length_c 7.4639
_cell_angle_alpha 90.00
_cell_angle_beta 90.00
_cell_angle_gamma 90.00
_space_group_name_H-M_alt 'F m -3 m'
_space_group_IT_number 225
_space_group_name_Hall '-F 4 2 3'
loop_
_atom_site_label
_atom_site_fract_x
_atom_site_fract_y
_atom_site_fract_z
Gd1 0.2500 0.2500 0.2500
Sc1 0.0000 0.0000 0.0000
Ti1 0.0000 0.0000 0.5000
# - V: 104.0 Å³/f.u.

Model two:
# Gd2ScTi (GGA-PBE, relaxed)
data_Gd2ScTi
_cell_length_a 4.7367
_cell_length_b 4.7367
_cell_length_c 4.6001
_cell_angle_alpha 90.00
_cell_angle_beta 90.00
_cell_angle_gamma 90.00
_space_group_name_H-M_alt 'P 4/m m m'
_space_group_IT_number 123
_space_group_name_Hall '-P 4 2'
loop_
_atom_site_label
_atom_site_fract_x
_atom_site_fract_y
_atom_site_fract_z
Gd1 0.0000 0.5000 0.0000
Sc1 0.0000 0.0000 0.5000
Ti1 0.5000 0.5000 0.5000
# - V: 103.2 Å³/f.u.

Model three:
# Gd2ScTi (GGA-PBE, relaxed)
data_Gd2ScTi
_cell_length_a 3.3565
_cell_length_b 3.3565
_cell_length_c 9.1794
_cell_angle_alpha 90.00
_cell_angle_beta 90.00
_cell_angle_gamma 90.00
_space_group_name_H-M_alt 'P 4/m m m'
_space_group_IT_number 123
_space_group_name_Hall '-P 4 2'
loop_
_atom_site_label
_atom_site_fract_x
_atom_site_fract_y
_atom_site_fract_z
Gd1 0.0000 0.0000 0.2316
Sc1 0.5000 0.5000 0.5000
Ti1 0.5000 0.5000 0.0000
# - V: 103.4 Å³/f.u.

Most stable structure - model three; separation to the second - 12 meV per atom.